MgZrTe2 | PBE | optimized geometry

Structure (CIF):
```
data_MgZrTe2
_chemical_formula_sum 'Mg1 Zr1 Te2'
_cell_length_a 9.286
_cell_length_b 9.286
_cell_length_c 9.286
_cell_angle_alpha 25.05
_cell_angle_beta 25.05
_cell_angle_gamma 25.05
_symmetry_space_group_name_H-M 'P 1'
_symmetry_Int_Tables_number 1
_symmetry_space_group_name_Hall 'P 1'
loop_
_atom_site_label
_atom_site_type_symbol
_atom_site_fract_x
_atom_site_fract_y
_atom_site_fract_z
Mg1 Mg 0.000 0.000 0.000
Zr1 Zr 0.500 0.500 0.500
Te1 Te 0.398 0.398 0.398
Te2 Te 0.602 0.602 0.602
```

The space group is R-3m. The value obtained for the uncorrected formation energy is -0.40 eV per formula unit.

=====

Ce2UAs3 | PBE | optimized geometry

Structure (CIF):
```
data_Ce2UAs3
_chemical_formula_sum 'Ce2 U1 As3'
_cell_length_a 9.335
_cell_length_b 9.335
_cell_length_c 9.335
_cell_angle_alpha 154.16
_cell_angle_beta 154.16
_cell_angle_gamma 36.86
_symmetry_space_group_name_H-M 'P 1'
_symmetry_Int_Tables_number 1
_symmetry_space_group_name_Hall 'P 1'
loop_
_atom_site_label
_atom_site_type_symbol
_atom_site_fract_x
_atom_site_fract_y
_atom_site_fract_z
Ce1 Ce 0.167 0.167 0.000
Ce2 Ce 0.833 0.833 0.000
U1 U 0.500 0.500 0.000
As1 As 0.000 0.000 0.000
As2 As 0.336 0.336 0.000
As3 As 0.664 0.664 0.000
```

The space group is I4/mmm. The energy of formation from the pure elements comes out at -1.18 eV per atom.

=====

Cr2CuBr | PBE | optimized geometry

Structure (CIF):
```
data_Cr2CuBr
_chemical_formula_sum 'Cr4 Cu2 Br2'
_cell_length_a 9.741
_cell_length_b 9.741
_cell_length_c 9.741
_cell_angle_alpha 158.93
_cell_angle_beta 158.93
_cell_angle_gamma 29.96
_symmetry_space_group_name_H-M 'P 1'
_symmetry_Int_Tables_number 1
_symmetry_space_group_name_Hall 'P 1'
loop_
_atom_site_label
_atom_site_type_symbol
_atom_site_fract_x
_atom_site_fract_y
_atom_site_fract_z
Cr1 Cr 0.071 0.625 0.946
Cr2 Cr 0.375 0.321 0.446
Cr3 Cr 0.679 0.125 0.054
Cr4 Cr 0.875 0.929 0.554
Cu1 Cu 0.000 0.000 0.000
Cu2 Cu 0.750 0.250 0.500
Br1 Br 0.250 0.750 0.500
Br2 Br 0.500 0.500 0.000
```

The space group is I-42d. The calculation puts the energy relative to the lowest polymorph listed for this composition at 626 meV per atom. The value obtained for the uncorrected formation energy is 3.91 eV per formula unit.

=====

Sr2CrRh | PBE | optimized geometry

Structure (CIF):
```
data_Sr2CrRh
_chemical_formula_sum 'Sr2 Cr1 Rh1'
_cell_length_a 5.814
_cell_length_b 5.814
_cell_length_c 5.814
_cell_angle_alpha 132.90
_cell_angle_beta 132.90
_cell_angle_gamma 68.80
_symmetry_space_group_name_H-M 'P 1'
_symmetry_Int_Tables_number 1
_symmetry_space_group_name_Hall 'P 1'
loop_
_atom_site_label
_atom_site_type_symbol
_atom_site_fract_x
_atom_site_fract_y
_atom_site_fract_z
Sr1 Sr 0.000 0.000 0.000
Sr2 Sr 0.750 0.250 0.500
Cr1 Cr 0.250 0.750 0.500
Rh1 Rh 0.500 0.500 0.000
```

The space group is I-4m2. The calculation puts the energy relative to the lowest polymorph listed for this composition at 321 meV per atom. The energy of formation from the pure elements comes out at 0.44 eV per atom.

=====

VCoPS2 | PBE | optimized geometry

Structure (CIF):
```
data_VCoPS2
_chemical_formula_sum 'V1 Co1 P1 S2'
_cell_length_a 4.420
_cell_length_b 4.420
_cell_length_c 4.188
_cell_angle_alpha 90.00
_cell_angle_beta 90.00
_cell_angle_gamma 90.00
_symmetry_space_group_name_H-M 'P 1'
_symmetry_Int_Tables_number 1
_symmetry_space_group_name_Hall 'P 1'
loop_
_atom_site_label
_atom_site_type_symbol
_atom_site_fract_x
_atom_site_fract_y
_atom_site_fract_z
V1 V 0.000 0.000 0.000
Co1 Co 0.500 0.500 0.500
P1 P 0.500 0.500 0.000
S1 S 0.000 0.500 0.500
S2 S 0.500 0.000 0.500
```

The space group is P4/mmm. The calculation puts the energy relative to the lowest polymorph listed for this composition at 53 meV per atom. The value obtained for the uncorrected formation energy is 2.97 eV per formula unit.

=====

CePr3Dy6 | PBE | optimized geometry

Structure (CIF):
```
data_CePr3Dy6
_chemical_formula_sum 'Ce1 Pr3 Dy6'
_cell_length_a 6.293
_cell_length_b 6.293
_cell_length_c 8.981
_cell_angle_alpha 97.65
_cell_angle_beta 97.65
_cell_angle_gamma 87.12
_symmetry_space_group_name_H-M 'P 1'
_symmetry_Int_Tables_number 1
_symmetry_space_group_name_Hall 'P 1'
loop_
_atom_site_label
_atom_site_type_symbol
_atom_site_fract_x
_atom_site_fract_y
_atom_site_fract_z
Ce1 Ce 0.000 0.000 0.000
Pr1 Pr 0.279 0.279 0.767
Pr2 Pr 0.500 0.500 0.500
Pr3 Pr 0.721 0.721 0.233
Dy1 Dy 0.117 0.117 0.368
Dy2 Dy 0.198 0.561 0.144
Dy3 Dy 0.439 0.802 0.856
Dy4 Dy 0.561 0.198 0.144
Dy5 Dy 0.802 0.439 0.856
Dy6 Dy 0.883 0.883 0.632
```

The space group is C2/m. The energy of formation from the pure elements comes out at 0.30 eV per atom.

=====

CuAs | PBE | optimized geometry

Structure (CIF):
```
data_CuAs
_chemical_formula_sum 'Cu4 As4'
_cell_length_a 4.626
_cell_length_b 4.626
_cell_length_c 7.232
_cell_angle_alpha 90.00
_cell_angle_beta 90.00
_cell_angle_gamma 120.00
_symmetry_space_group_name_H-M 'P 1'
_symmetry_Int_Tables_number 1
_symmetry_space_group_name_Hall 'P 1'
loop_
_atom_site_label
_atom_site_type_symbol
_atom_site_fract_x
_atom_site_fract_y
_atom_site_fract_z
Cu1 Cu 0.333 0.667 0.080
Cu2 Cu 0.333 0.667 0.420
Cu3 Cu 0.667 0.333 0.580
Cu4 Cu 0.667 0.333 0.920
As1 As 0.000 0.000 0.250
As2 As 0.000 0.000 0.750
As3 As 0.333 0.667 0.750
As4 As 0.667 0.333 0.250
```

The space group is P6_3/mmc. The energy of formation from the pure elements comes out at 0.41 eV per atom.

=====

ZrBe2Au | PBE | optimized geometry

Structure (CIF):
```
data_ZrBe2Au
_chemical_formula_sum 'Zr1 Be2 Au1'
_cell_length_a 3.023
_cell_length_b 3.023
_cell_length_c 6.299
_cell_angle_alpha 90.00
_cell_angle_beta 90.00
_cell_angle_gamma 90.00
_symmetry_space_group_name_H-M 'P 1'
_symmetry_Int_Tables_number 1
_symmetry_space_group_name_Hall 'P 1'
loop_
_atom_site_label
_atom_site_type_symbol
_atom_site_fract_x
_atom_site_fract_y
_atom_site_fract_z
Zr1 Zr 0.000 0.000 0.000
Be1 Be 0.500 0.500 0.292
Be2 Be 0.500 0.500 0.708
Au1 Au 0.000 0.000 0.500
```

The space group is P4/mmm. The calculation puts the energy relative to the lowest polymorph listed for this composition at 237 meV per atom. The energy of formation from the pure elements comes out at -0.12 eV per atom.

=====

CaPuIn4 | PBE | optimized geometry

Structure (CIF):
```
data_CaPuIn4
_chemical_formula_sum 'Ca1 Pu1 In4'
_cell_length_a 3.487
_cell_length_b 5.089
_cell_length_c 8.905
_cell_angle_alpha 90.00
_cell_angle_beta 90.00
_cell_angle_gamma 90.00
_symmetry_space_group_name_H-M 'P 1'
_symmetry_Int_Tables_number 1
_symmetry_space_group_name_Hall 'P 1'
loop_
_atom_site_label
_atom_site_type_symbol
_atom_site_fract_x
_atom_site_fract_y
_atom_site_fract_z
Ca1 Ca 0.000 0.000 0.000
Pu1 Pu 0.000 0.500 0.500
In1 In 0.500 0.000 0.333
In2 In 0.500 0.000 0.667
In3 In 0.500 0.500 0.166
In4 In 0.500 0.500 0.834
```

The space group is Pmmm. The calculation puts the energy relative to the lowest polymorph listed for this composition at 0 meV per atom. The energy of formation from the pure elements comes out at -0.27 eV per atom.

=====

Sm3B7Os | PBE | optimized geometry

Structure (CIF):
```
data_Sm3B7Os
_chemical_formula_sum 'Sm6 B14 Os2'
_cell_length_a 8.250
_cell_length_b 8.250
_cell_length_c 9.493
_cell_angle_alpha 90.00
_cell_angle_beta 90.00
_cell_angle_gamma 154.94
_symmetry_space_group_name_H-M 'P 1'
_symmetry_Int_Tables_number 1
_symmetry_space_group_name_Hall 'P 1'
loop_
_atom_site_label
_atom_site_type_symbol
_atom_site_fract_x
_atom_site_fract_y
_atom_site_fract_z
Sm1 Sm 0.105 0.895 0.561
Sm2 Sm 0.105 0.895 0.939
Sm3 Sm 0.244 0.756 0.250
Sm4 Sm 0.756 0.244 0.750
Sm5 Sm 0.895 0.105 0.061
Sm6 Sm 0.895 0.105 0.439
B1 B 0.273 0.727 0.533
B2 B 0.273 0.727 0.967
B3 B 0.368 0.632 0.652
B4 B 0.368 0.632 0.848
B5 B 0.462 0.538 0.250
B6 B 0.477 0.523 0.599
B7 B 0.477 0.523 0.901
B8 B 0.523 0.477 0.099
B9 B 0.523 0.477 0.401
B10 B 0.538 0.462 0.750
B11 B 0.632 0.368 0.152
B12 B 0.632 0.368 0.348
B13 B 0.727 0.273 0.033
B14 B 0.727 0.273 0.467
Os1 Os 0.056 0.944 0.250
Os2 Os 0.944 0.056 0.750
```

The space group is Cmcm. The energy of formation from the pure elements comes out at -0.50 eV per atom.

=====

Cs4K8Rb3 | PBE | optimized geometry

Structure (CIF):
```
data_Cs4K8Rb3
_chemical_formula_sum 'Cs8 K16 Rb6'
_cell_length_a 14.608
_cell_length_b 14.608
_cell_length_c 14.506
_cell_angle_alpha 90.00
_cell_angle_beta 90.00
_cell_angle_gamma 120.00
_symmetry_space_group_name_H-M 'P 1'
_symmetry_Int_Tables_number 1
_symmetry_space_group_name_Hall 'P 1'
loop_
_atom_site_label
_atom_site_type_symbol
_atom_site_fract_x
_atom_site_fract_y
_atom_site_fract_z
Cs1 Cs 0.200 0.400 0.000
Cs2 Cs 0.200 0.800 0.000
Cs3 Cs 0.333 0.667 0.450
Cs4 Cs 0.400 0.200 0.500
Cs5 Cs 0.600 0.800 0.000
Cs6 Cs 0.667 0.333 0.950
Cs7 Cs 0.800 0.200 0.500
Cs8 Cs 0.800 0.600 0.500
K1 K 0.000 0.000 0.067
K2 K 0.000 0.000 0.567
K3 K 0.116 0.232 0.320
K4 K 0.116 0.884 0.320
K5 K 0.173 0.346 0.628
K6 K 0.173 0.827 0.628
K7 K 0.232 0.116 0.820
K8 K 0.333 0.667 0.771
K9 K 0.346 0.173 0.128
K10 K 0.654 0.827 0.628
K11 K 0.667 0.333 0.271
K12 K 0.768 0.884 0.320
K13 K 0.827 0.173 0.128
K14 K 0.827 0.654 0.128
K15 K 0.884 0.116 0.820
K16 K 0.884 0.768 0.820
Rb1 Rb 0.032 0.516 0.258
Rb2 Rb 0.484 0.516 0.258
Rb3 Rb 0.484 0.968 0.258
Rb4 Rb 0.516 0.032 0.758
Rb5 Rb 0.516 0.484 0.758
Rb6 Rb 0.968 0.484 0.758
```

The space group is P6_3mc. The energy of formation from the pure elements comes out at 0.02 eV per atom.

=====

BeFeIr2 | PBE | optimized geometry

Structure (CIF):
```
data_BeFeIr2
_chemical_formula_sum 'Be1 Fe1 Ir2'
_cell_length_a 4.676
_cell_length_b 4.676
_cell_length_c 4.249
_cell_angle_alpha 109.42
_cell_angle_beta 109.42
_cell_angle_gamma 34.51
_symmetry_space_group_name_H-M 'P 1'
_symmetry_Int_Tables_number 1
_symmetry_space_group_name_Hall 'P 1'
loop_
_atom_site_label
_atom_site_type_symbol
_atom_site_fract_x
_atom_site_fract_y
_atom_site_fract_z
Be1 Be 0.000 0.000 0.000
Fe1 Fe 0.264 0.264 0.664
Ir1 Ir 0.510 0.510 0.507
Ir2 Ir 0.739 0.739 0.141
```

The space group is Cm. The energy of formation from the pure elements comes out at -0.18 eV per atom.

=====

no.,size of the total moment (μB per cell)
1,0.000
2,3.993
3,0.000
4,4.823
5,0.014
6,1.182
7,0.000
8,0.000
9,6.193
10,0.000
11,0.000
12,2.397